(1)
{"formula": "Pr2NdDy7", "functional": "PBE", "state": "optimized geometry", "volume_a3_per_cell": 335.61, "ef_ev_per_atom": 0.16, "de_polymorph_ev_per_atom": 0.144, "cell": [[-1.521, 2.683, 1.693], [-0.185, -8.025, 12.553], [5.940, 9.540, -9.784]], "species": ["Dy", "Dy", "Dy", "Dy", "Dy", "Dy", "Dy", "Nd", "Pr", "Pr"], "fractional_positions": [[0.500, 0.654, 0.852], [0.500, 0.500, 0.500], [0.500, 0.148, 0.346], [0.000, 0.815, 0.185], [0.500, 0.346, 0.148], [0.500, 0.852, 0.654], [0.000, 0.185, 0.815], [0.000, 0.000, 0.000], [0.500, 0.293, 0.707], [0.500, 0.707, 0.293]]}

=====

(2)
{"formula": "BePRhCl2", "functional": "PBE", "state": "optimized geometry", "raw_formation_energy_ev_per_atom": 0.557, "volume_a3_per_cell": 108.54, "de_polymorph_ev_per_atom": 0.196, "cell": [[-0.330, -4.332, 2.306], [-0.378, -2.282, -4.341], [4.463, -0.427, -0.164]], "species": ["P", "Cl", "Cl", "Rh", "Be"], "fractional_positions": [[0.000, 0.000, 0.500], [0.500, 0.000, 0.000], [0.000, 0.500, 0.000], [0.000, 0.000, 0.000], [0.500, 0.500, 0.500]]}

=====

(3)
{"formula": "CeHf2Cu9", "functional": "PBE", "state": "optimized geometry", "volume_a3_per_cell": 364.17, "ef_ev_per_atom": -0.09, "cell": [[5.093, 0.000, 0.000], [-2.547, 4.411, 0.000], [0.000, 0.000, 16.211]], "species": ["Cu", "Cu", "Cu", "Cu", "Cu", "Cu", "Cu", "Cu", "Cu", "Cu", "Cu", "Cu", "Cu", "Cu", "Cu", "Cu", "Cu", "Cu", "Hf", "Hf", "Hf", "Hf", "Ce", "Ce"], "fractional_positions": [[0.000, 0.000, 0.000], [0.168, 0.832, 0.122], [0.168, 0.337, 0.122], [0.667, 0.333, 0.750], [0.337, 0.168, 0.878], [0.663, 0.832, 0.378], [0.000, 0.000, 0.500], [0.337, 0.168, 0.622], [0.168, 0.832, 0.378], [0.000, 0.000, 0.250], [0.832, 0.663, 0.622], [0.832, 0.168, 0.878], [0.333, 0.667, 0.250], [0.168, 0.337, 0.378], [0.832, 0.168, 0.622], [0.663, 0.832, 0.122], [0.000, 0.000, 0.750], [0.832, 0.663, 0.878], [0.333, 0.667, 0.968], [0.667, 0.333, 0.468], [0.333, 0.667, 0.532], [0.667, 0.333, 0.032], [0.667, 0.333, 0.250], [0.333, 0.667, 0.750]]}

=====

(4)
{"formula": "Rb2CaScI6", "functional": "PBE", "state": "optimized geometry", "raw_formation_energy_ev_per_atom": -1.336, "volume_a3_per_cell": 443.11, "cell": [[-6.774, -0.852, -5.159], [-0.940, -8.107, 2.573], [-7.494, -2.639, 3.179]], "species": ["Sc", "Rb", "Rb", "I", "I", "I", "I", "I", "I", "Ca"], "fractional_positions": [[0.000, 0.000, 0.000], [0.750, 0.250, 0.500], [0.250, 0.750, 0.500], [0.756, 0.756, 0.489], [0.244, 0.244, 0.511], [0.756, 0.244, 0.000], [0.244, 0.756, 0.000], [0.244, 0.244, 0.000], [0.756, 0.756, 0.000], [0.500, 0.500, 0.000]]}

=====

(5)
{"formula": "In3Pb", "functional": "PBE", "state": "optimized geometry", "volume_a3_per_cell": 227.64, "ef_ev_per_atom": 0.02, "cell": [[5.650, 0.000, 0.000], [0.000, 6.827, -0.011], [0.000, -3.423, 5.907]], "species": ["In", "In", "In", "In", "In", "In", "Pb", "Pb"], "fractional_positions": [[0.750, 0.836, 0.164], [0.750, 0.835, 0.671], [0.250, 0.165, 0.329], [0.250, 0.671, 0.835], [0.250, 0.164, 0.836], [0.750, 0.329, 0.165], [0.250, 0.667, 0.333], [0.750, 0.333, 0.667]]}

=====

(6)
{"formula": "Mg2Zn3Cu4", "functional": "PBE", "state": "optimized geometry", "volume_a3_per_cell": 128.98, "ef_ev_per_atom": -0.07, "cell": [[-2.057, 3.659, -5.572], [1.248, 1.044, -6.784], [-3.038, -2.427, -3.048]], "species": ["Zn", "Zn", "Zn", "Mg", "Mg", "Cu", "Cu", "Cu", "Cu"], "fractional_positions": [[0.000, 0.000, 0.000], [0.892, 0.892, 0.634], [0.108, 0.108, 0.366], [0.662, 0.662, 0.998], [0.338, 0.338, 0.002], [0.559, 0.559, 0.650], [0.441, 0.441, 0.350], [0.225, 0.225, 0.649], [0.775, 0.775, 0.351]]}

=====

(7)
{"formula": "MgTc8", "functional": "PBE", "state": "optimized geometry", "volume_a3_per_cell": 135.31, "ef_ev_per_atom": 0.11, "cell": [[5.726, -1.061, 2.079], [-5.960, -1.171, 1.159], [0.423, -3.714, -4.925]], "species": ["Tc", "Tc", "Tc", "Tc", "Tc", "Tc", "Tc", "Tc", "Mg"], "fractional_positions": [[0.677, 0.677, 0.355], [0.657, 0.000, 0.657], [0.323, 0.323, 0.645], [0.677, 0.323, 0.000], [0.000, 0.657, 0.657], [0.343, 0.000, 0.343], [0.323, 0.677, 0.000], [0.000, 0.343, 0.343], [0.000, 0.000, 0.000]]}

=====

(8)
{"formula": "BaLiAl2Pd", "functional": "PBE", "state": "optimized geometry", "volume_a3_per_cell": 120.41, "ef_ev_per_atom": -0.37, "de_polymorph_ev_per_atom": 0.000, "cell": [[4.848, 0.000, 0.000], [0.000, 4.848, 0.000], [0.000, 0.000, 5.122]], "species": ["Ba", "Li", "Pd", "Al", "Al"], "fractional_positions": [[0.500, 0.500, 0.500], [0.000, 0.000, 0.500], [0.000, 0.000, 0.000], [0.000, 0.500, 0.000], [0.500, 0.000, 0.000]]}

=====

(9)
{"formula": "Pm6ZnHg2", "functional": "PBE", "state": "optimized geometry", "volume_a3_per_cell": 293.40, "ef_ev_per_atom": -0.06, "cell": [[-3.630, -2.264, -2.896], [1.405, -6.427, 3.262], [-4.206, 5.918, 5.208]], "species": ["Pm", "Pm", "Pm", "Pm", "Pm", "Pm", "Hg", "Hg", "Zn"], "fractional_positions": [[0.500, 0.239, 0.000], [0.837, 0.082, 0.673], [0.837, 0.591, 0.673], [0.163, 0.409, 0.327], [0.163, 0.918, 0.327], [0.500, 0.761, 0.000], [0.334, 0.334, 0.668], [0.666, 0.666, 0.332], [0.000, 0.000, 0.000]]}

=====

(10)
{"formula": "Mn2CoIr", "functional": "PBE", "state": "optimized geometry", "volume_a3_per_cell": 50.48, "ef_ev_per_atom": 0.10, "cell": [[4.148, 0.000, 0.000], [2.074, 3.593, 0.000], [2.074, 1.198, 3.387]], "species": ["Ir", "Mn", "Mn", "Co"], "fractional_positions": [[0.750, 0.750, 0.750], [0.000, 0.000, 0.000], [0.250, 0.250, 0.250], [0.500, 0.500, 0.500]]}

=====

(11)
{"formula": "BaZn2Ga", "functional": "PBE", "state": "optimized geometry", "volume_a3_per_cell": 231.34, "ef_ev_per_atom": -0.16, "cell": [[-3.736, 3.488, 0.781], [-1.379, -2.449, 4.340], [2.960, 5.419, 7.079]], "species": ["Ga", "Ga", "Zn", "Zn", "Zn", "Zn", "Ba", "Ba"], "fractional_positions": [[0.250, 0.750, 0.500], [0.500, 0.500, 0.000], [0.875, 0.626, 0.750], [0.376, 0.125, 0.250], [0.375, 0.624, 0.750], [0.374, 0.625, 0.250], [0.000, 0.000, 0.000], [0.750, 0.250, 0.500]]}

=====

(12)
{"formula": "LiTb2Au", "functional": "PBE", "state": "optimized geometry", "volume_a3_per_cell": 115.46, "ef_ev_per_atom": -0.18, "cell": [[3.902, 0.000, 0.000], [1.951, 3.379, 0.000], [1.951, 1.126, 8.758]], "species": ["Li", "Tb", "Tb", "Au"], "fractional_positions": [[0.501, 0.501, 0.497], [0.071, 0.071, 0.788], [0.262, 0.262, 0.213], [0.666, 0.666, 0.002]]}

=====

Copy entry 3 word for word.
{"formula": "CeHf2Cu9", "functional": "PBE", "state": "optimized geometry", "volume_a3_per_cell": 364.17, "ef_ev_per_atom": -0.09, "cell": [[5.093, 0.000, 0.000], [-2.547, 4.411, 0.000], [0.000, 0.000, 16.211]], "species": ["Cu", "Cu", "Cu", "Cu", "Cu", "Cu", "Cu", "Cu", "Cu", "Cu", "Cu", "Cu", "Cu", "Cu", "Cu", "Cu", "Cu", "Cu", "Hf", "Hf", "Hf", "Hf", "Ce", "Ce"], "fractional_positions": [[0.000, 0.000, 0.000], [0.168, 0.832, 0.122], [0.168, 0.337, 0.122], [0.667, 0.333, 0.750], [0.337, 0.168, 0.878], [0.663, 0.832, 0.378], [0.000, 0.000, 0.500], [0.337, 0.168, 0.622], [0.168, 0.832, 0.378], [0.000, 0.000, 0.250], [0.832, 0.663, 0.622], [0.832, 0.168, 0.878], [0.333, 0.667, 0.250], [0.168, 0.337, 0.378], [0.832, 0.168, 0.622], [0.663, 0.832, 0.122], [0.000, 0.000, 0.750], [0.832, 0.663, 0.878], [0.333, 0.667, 0.968], [0.667, 0.333, 0.468], [0.333, 0.667, 0.532], [0.667, 0.333, 0.032], [0.667, 0.333, 0.250], [0.333, 0.667, 0.750]]}